# PBE YHoGaAg, relaxed
data_YHoGaAg
_chemical_formula_sum 'Y1 Ho1 Ga1 Ag1'
_cell_length_a 5.107
_cell_length_b 5.107
_cell_length_c 5.107
_cell_angle_alpha 60.00
_cell_angle_beta 60.00
_cell_angle_gamma 60.00
_symmetry_space_group_name_H-M 'P 1'
_symmetry_Int_Tables_number 1
loop_
_symmetry_equiv_pos_as_xyz
'x,y,z'
loop_
_atom_site_label
_atom_site_fract_x
_atom_site_fract_y
_atom_site_fract_z
Y1 0.750 0.750 0.750
Ga1 0.500 0.500 0.500
Ag1 0.000 0.000 0.000
Ho1 0.250 0.250 0.250
# Final energy = -4.704 eV per atom
# Total magnetization = 0.000 μB/f.u.
# Formation enthalpy at 0 K = -0.4742 eV per atom
# Calculated volume = 94.21 Å³/cell

***

# PBE CuAsPb2, relaxed
data_CuAsPb2
_chemical_formula_sum 'Cu2 As2 Pb4'
_cell_length_a 6.439
_cell_length_b 6.439
_cell_length_c 7.588
_cell_angle_alpha 64.90
_cell_angle_beta 64.90
_cell_angle_gamma 90.00
_symmetry_space_group_name_H-M 'P 1'
_symmetry_Int_Tables_number 1
loop_
_symmetry_equiv_pos_as_xyz
'x,y,z'
loop_
_atom_site_label
_atom_site_fract_x
_atom_site_fract_y
_atom_site_fract_z
Pb1 0.147 0.625 0.250
Pb2 0.375 0.397 0.750
Cu1 0.500 0.500 0.000
Pb3 0.603 0.125 0.250
As1 0.750 0.250 0.500
Pb4 0.875 0.853 0.750
As2 0.000 0.000 0.000
Cu2 0.250 0.750 0.500
# Final energy = -3.769 eV per atom
# Total magnetization = 0.000 μB/f.u.
# Formation enthalpy at 0 K = 0.2717 eV per atom
# Calculated volume = 251.70 Å³/cell

***

# PBE RbPa2I8, relaxed
data_RbPa2I8
_chemical_formula_sum 'Rb1 Pa2 I8'
_cell_length_a 9.293
_cell_length_b 9.545
_cell_length_c 9.545
_cell_angle_alpha 57.20
_cell_angle_beta 78.32
_cell_angle_gamma 78.32
_symmetry_space_group_name_H-M 'P 1'
_symmetry_Int_Tables_number 1
loop_
_symmetry_equiv_pos_as_xyz
'x,y,z'
loop_
_atom_site_label
_atom_site_fract_x
_atom_site_fract_y
_atom_site_fract_z
I1 0.820 0.638 0.638
Pa1 0.662 0.811 0.811
I2 0.754 0.654 0.147
Rb1 0.000 0.000 0.000
I3 0.339 0.820 0.820
I4 0.246 0.346 0.853
I5 0.754 0.147 0.654
I6 0.246 0.853 0.346
I7 0.661 0.180 0.180
Pa2 0.338 0.189 0.189
I8 0.180 0.362 0.362
# Final energy = -3.805 eV per atom
# Total magnetization = 3.000 μB/f.u.
# Raw formation energy = -0.864 eV/atom
# Calculated volume = 692.43 Å³/cell